[1]
! Cs2TeMoP PBE-GGA optimized geometry; values from VASP
! M_tot = 5.39 μB per formula unit
! DOS(E_F) = 3.3 states/eV/cell
! Formation energy from raw total energies = 4.38 eV/f.u.
! Space group = P4/mmm
&SYSTEM
  ibrav = 0, nat = 5, ntyp = 4
/
ATOMIC_SPECIES
Mo 95.94 Mo.upf
P 30.97 P.upf
Cs 132.91 Cs.upf
Te 127.60 Te.upf
CELL_PARAMETERS angstrom
7.063 0.000 0.000
0.000 5.100 0.000
0.000 0.000 7.063
ATOMIC_POSITIONS angstrom
Mo 3.531 2.550 3.531
P 0.000 0.000 0.000
Cs 3.531 0.000 0.000
Cs 0.000 0.000 3.531
Te 0.000 2.550 0.000

---

[2]
! CsTlMoP2 PBE-GGA optimized geometry; values from VASP
! Total DFT energy (no corrections) = -2.680 eV per atom
! M_tot = 4.05 μB per formula unit
! DOS(E_F) = 5.0 states/eV/cell
! Space group = P4/mmm
&SYSTEM
  ibrav = 0, nat = 5, ntyp = 4
/
ATOMIC_SPECIES
P 30.97 P.upf
Tl 204.38 Tl.upf
Mo 95.94 Mo.upf
Cs 132.91 Cs.upf
CELL_PARAMETERS angstrom
5.478 0.000 0.000
0.000 5.185 0.000
0.000 0.000 5.478
ATOMIC_POSITIONS angstrom
P 0.000 0.000 2.739
P 2.739 0.000 0.000
Tl 2.739 2.592 2.739
Mo 0.000 2.592 0.000
Cs 0.000 0.000 0.000

---

[3]
! CsMo3Pb PBE-GGA optimized geometry; values from VASP
! Excess energy over the best structure of this formula in the dataset = 0 meV per atom
! M_tot = 9.64 μB per formula unit
! DOS(E_F) = 10.5 states/eV/cell
! Space group = Pm-3m
&SYSTEM
  ibrav = 0, nat = 5, ntyp = 3
/
ATOMIC_SPECIES
Mo 95.94 Mo.upf
Pb 207.20 Pb.upf
Cs 132.91 Cs.upf
CELL_PARAMETERS angstrom
-2.374 -0.879 4.603
1.487 -5.035 -0.194
4.444 1.215 2.524
ATOMIC_POSITIONS angstrom
Mo 2.222 0.608 1.262
Mo -1.187 -0.439 2.302
Mo 0.743 -2.517 -0.097
Pb 0.000 0.000 0.000
Cs 1.778 -2.349 3.466

---

[4]
! CsMoPb2 PBE-GGA optimized geometry; values from VASP
! Total DFT energy (no corrections) = -3.790 eV per atom
! M_tot = 3.30 μB per formula unit
! DOS(E_F) = 3.0 states/eV/cell
! Space group = Fm-3m
&SYSTEM
  ibrav = 0, nat = 4, ntyp = 3
/
ATOMIC_SPECIES
Cs 132.91 Cs.upf
Pb 207.20 Pb.upf
Mo 95.94 Mo.upf
CELL_PARAMETERS angstrom
0.000 3.960 3.960
3.960 0.000 3.960
3.960 3.960 0.000
ATOMIC_POSITIONS angstrom
Cs 3.960 3.960 3.960
Pb 1.980 1.980 1.980
Pb 5.941 5.941 5.941
Mo 0.000 0.000 0.000

---

[5]
! CsMo3Pb PBE-GGA optimized geometry; values from VASP
! Excess energy over the best structure of this formula in the dataset = 467 meV per atom
! M_tot = 3.13 μB per formula unit
! DOS(E_F) = 4.8 states/eV/cell
! Space group = Pm-3m
&SYSTEM
  ibrav = 0, nat = 5, ntyp = 3
/
ATOMIC_SPECIES
Cs 132.91 Cs.upf
Pb 207.20 Pb.upf
Mo 95.94 Mo.upf
CELL_PARAMETERS angstrom
5.008 0.000 0.000
0.000 5.008 0.000
0.000 0.000 5.008
ATOMIC_POSITIONS angstrom
Cs 0.000 0.000 0.000
Pb 2.504 2.504 2.504
Mo 2.504 0.000 0.000
Mo 0.000 2.504 0.000
Mo 0.000 0.000 2.504

---

[6]
! CsMo2Pb PBE-GGA optimized geometry; values from VASP
! Total DFT energy (no corrections) = -4.543 eV per atom
! M_tot = 6.97 μB per formula unit
! DOS(E_F) = 1.7 states/eV/cell
! Space group = I-42d
&SYSTEM
  ibrav = 0, nat = 8, ntyp = 3
/
ATOMIC_SPECIES
Mo 95.94 Mo.upf
Cs 132.91 Cs.upf
Pb 207.20 Pb.upf
CELL_PARAMETERS angstrom
-1.264 7.359 4.310
-6.613 1.905 -5.193
-6.114 2.989 1.726
ATOMIC_POSITIONS angstrom
Mo -3.221 6.022 2.733
Mo -11.872 10.461 0.213
Mo -7.146 5.602 1.272
Mo -5.744 2.420 -2.532
Cs -8.333 4.763 -1.954
Cs -3.939 4.632 -0.441
Pb 0.000 0.000 0.000
Pb -5.659 7.490 2.797

---

[7]
! CsRbMoPb2 PBE-GGA optimized geometry; values from VASP
! Total DFT energy (no corrections) = -3.534 eV per atom
! M_tot = 0.00 μB per formula unit
! DOS(E_F) = 3.1 states/eV/cell
! Space group = P4/mmm
&SYSTEM
  ibrav = 0, nat = 5, ntyp = 4
/
ATOMIC_SPECIES
Mo 95.94 Mo.upf
Pb 207.20 Pb.upf
Cs 132.91 Cs.upf
Rb 85.47 Rb.upf
CELL_PARAMETERS angstrom
5.532 0.000 0.000
0.000 6.173 0.000
0.000 0.000 5.532
ATOMIC_POSITIONS angstrom
Mo 0.000 0.000 0.000
Pb 0.000 0.000 2.766
Pb 2.766 0.000 0.000
Cs 0.000 3.086 0.000
Rb 2.766 3.086 2.766

---

[8]
! CsMoPb2Se PBE-GGA optimized geometry; values from VASP
! M_tot = 2.37 μB per formula unit
! DOS(E_F) = 2.5 states/eV/cell
! Formation energy from raw total energies = 2.81 eV/f.u.
! Space group = P4/mmm
&SYSTEM
  ibrav = 0, nat = 5, ntyp = 4
/
ATOMIC_SPECIES
Cs 132.91 Cs.upf
Mo 95.94 Mo.upf
Pb 207.20 Pb.upf
Se 78.96 Se.upf
CELL_PARAMETERS angstrom
6.042 0.000 0.000
0.000 4.865 0.000
0.000 0.000 6.042
ATOMIC_POSITIONS angstrom
Cs 3.021 2.432 3.021
Mo 0.000 2.432 0.000
Pb 0.000 0.000 3.021
Pb 3.021 0.000 0.000
Se 0.000 0.000 0.000

---

[9]
! CsMo2Pd PBE-GGA optimized geometry; values from VASP
! Excess energy over the best structure of this formula in the dataset = 226 meV per atom
! M_tot = 0.00 μB per formula unit
! DOS(E_F) = 6.2 states/eV/cell
! Space group = Fm-3m
&SYSTEM
  ibrav = 0, nat = 4, ntyp = 3
/
ATOMIC_SPECIES
Mo 95.94 Mo.upf
Cs 132.91 Cs.upf
Pd 106.42 Pd.upf
CELL_PARAMETERS angstrom
0.000 3.325 3.325
3.325 0.000 3.325
3.325 3.325 0.000
ATOMIC_POSITIONS angstrom
Mo 1.662 1.662 1.662
Mo 4.987 4.987 4.987
Cs 3.325 3.325 3.325
Pd 0.000 0.000 0.000

---

[10]
! Cs3MoPd PBE-GGA optimized geometry; values from VASP
! Total DFT energy (no corrections) = -2.684 eV per atom
! M_tot = 5.00 μB per formula unit
! DOS(E_F) = 0.5 states/eV/cell
! Space group = Pm-3m
&SYSTEM
  ibrav = 0, nat = 5, ntyp = 3
/
ATOMIC_SPECIES
Cs 132.91 Cs.upf
Mo 95.94 Mo.upf
Pd 106.42 Pd.upf
CELL_PARAMETERS angstrom
6.713 0.000 0.000
0.000 6.713 0.000
0.000 0.000 6.713
ATOMIC_POSITIONS angstrom
Cs 3.356 0.000 0.000
Cs 0.000 3.356 0.000
Cs 0.000 0.000 3.356
Mo 3.356 3.356 3.356
Pd 0.000 0.000 0.000

---

[11]
! CsMo2Pd PBE-GGA optimized geometry; values from VASP
! Excess energy over the best structure of this formula in the dataset = 0 meV per atom
! M_tot = 0.00 μB per formula unit
! DOS(E_F) = 6.6 states/eV/cell
! Space group = I-42d
&SYSTEM
  ibrav = 0, nat = 8, ntyp = 3
/
ATOMIC_SPECIES
Cs 132.91 Cs.upf
Mo 95.94 Mo.upf
Pd 106.42 Pd.upf
CELL_PARAMETERS angstrom
-3.821 0.658 -1.240
0.876 -1.691 -3.597
-4.398 -10.236 1.439
ATOMIC_POSITIONS angstrom
Cs 0.000 0.000 0.000
Cs -4.846 -5.047 -1.110
Mo -3.066 -2.413 -0.763
Mo -5.947 -8.443 -2.859
Mo -1.342 -3.480 -2.145
Mo -4.331 -8.203 -1.029
Pd -2.497 -6.222 -2.288
Pd -1.472 -0.517 -2.418

---

[12]
! Cs2MoPdS4 PBE-GGA optimized geometry; values from VASP
! M_tot = 0.00 μB per formula unit
! Formation energy from raw total energies = -7.39 eV/f.u.
! Space group = Fddd
&SYSTEM
  ibrav = 0, nat = 16, ntyp = 4
/
ATOMIC_SPECIES
Mo 95.94 Mo.upf
S 32.06 S.upf
Cs 132.91 Cs.upf
Pd 106.42 Pd.upf
CELL_PARAMETERS angstrom
5.650 0.000 0.000
2.825 7.221 0.000
2.825 0.000 12.340
ATOMIC_POSITIONS angstrom
Mo 4.238 3.611 6.170
Mo 2.825 0.000 0.000
S 4.388 1.335 11.040
S 8.626 4.945 7.470
S 4.388 5.886 1.300
S 5.500 2.276 7.470
S 9.737 5.886 11.040
S 4.087 1.335 1.300
S 5.500 4.945 4.870
S 2.976 2.276 4.870
Cs 7.063 3.611 10.509
Cs 7.063 3.611 1.832
Cs 5.650 0.000 4.339
Cs 2.825 0.000 8.002
Pd 7.063 3.611 6.170
Pd 0.000 0.000 0.000

---

M_tot of number 4 (CsMoPb2)? 3.30 μB per formula unit

---

Which value of M_tot does entry 11 give? 0.00 μB per formula unit